First-principles (PBE) data for a relaxed LiCu2Pd crystal, as listed in Alexandria via LeMat-Bulk.

crystal system = orthorhombic
energy of formation = 0.071 eV per atom
space group = Immm (71)

a = 5.5832 Å, b = 5.5832 Å, c = 5.5832 Å
α = 152.54°, β = 53.02°, γ = 135.58°
Closest atoms and distances in Å follow each position.
Fractional coordinates of all 4 atoms:
Li: 0.0000 0.0000 0.0000  2 Cu 2.46, 4 Pd 2.49, 2 Li 2.65
Cu: 0.7535 0.0000 0.7535  1 Li 2.46, 6 Cu 2.49-2.65, 1 Pd 2.53
Cu: 0.2465 0.0000 0.2465  1 Li 2.46, 6 Cu 2.49-2.65, 1 Pd 2.53
Pd: 0.5000 0.0000 0.5000  4 Li 2.49, 2 Cu 2.53, 2 Pd 2.65